Here is a relaxed structure of LiMnF3 from the Alexandria database. Energies are from PBE with a Hubbard U.

Output
Total DFT energy (no corrections) (eV per atom): -5.76
SG: P2_1/c (14)
Calculated density (g/cm³): 3.00

The structure in POSCAR format:
```
LiMnF3
1.0
10.2719 0.0000 0.0000
0.0000 9.2494 0.0000
-1.4701 0.0000 5.5393
Li Mn F
8 8 24
Cartesian
0.1077 1.5551 1.3009 Li
-0.6274 3.0696 4.0705 Li
3.5539 1.5344 3.5963 Li
4.2890 3.0904 0.8266 Li
4.5128 6.1591 4.7127 Li
5.2478 7.7151 1.9430 Li
9.4291 6.1798 1.4688 Li
8.6941 7.6944 4.2385 Li
2.5687 6.0473 0.3303 Mn
1.8337 7.8269 3.1000 Mn
2.5787 0.3480 0.3544 Mn
1.8437 4.2767 3.1240 Mn
6.9581 4.9727 2.4153 Mn
6.2230 8.9014 5.1850 Mn
6.9681 1.4226 2.4393 Mn
6.2330 3.2022 5.2090 Mn
-0.2852 1.7401 5.2990 F
0.4498 2.8847 2.5294 F
0.2739 4.6892 4.5599 F
1.0089 9.1849 1.7903 F
1.0564 6.1178 1.9119 F
0.3213 7.7564 4.6816 F
2.5332 0.1163 4.3482 F
3.2683 4.5084 1.5786 F
2.6102 6.1432 4.2519 F
3.3452 7.7309 1.4822 F
3.6289 1.5496 1.7007 F
2.8938 3.0751 4.4703 F
5.9080 6.1743 1.0690 F
5.1729 7.6999 3.8387 F
5.4565 1.5185 4.0571 F
6.1916 3.1062 1.2875 F
5.5335 4.7410 3.9608 F
6.2686 9.1332 1.1911 F
8.4805 1.4930 0.8577 F
7.7454 3.1317 3.6274 F
7.7929 0.0645 3.7491 F
8.5279 4.5602 0.9794 F
8.3519 6.3648 3.0100 F
9.0870 7.5094 0.2403 F
```